[1]
A crystal of YAlZn relaxed with PBEsol, computed with SCAN.

Calculated values
E_tot	-16.91	eV per atom
total moment	0.17	μB/f.u.
E_form	-158	kJ/mol of formula units
symmetry	P6_3/mmc

abc: 4.421 4.421 7.094
angles: 90.00 90.00 120.00
Last column: magnetic moment on the atom in μB.
Sites, in units of the cell vectors:
1 Y 0.000 0.000 0.000  0.09
2 Y 0.000 0.000 0.500  0.09
3 Zn 0.333 0.667 0.750  0.00
4 Zn 0.667 0.333 0.250  0.00
5 Al 0.333 0.667 0.250  0.00
6 Al 0.667 0.333 0.750  0.00

---

[2]
A crystal of Mg2MnP relaxed with PBEsol, computed with SCAN.

Calculated values
E_tot	-9.57	eV per atom
total moment	3.92	μB/f.u.
E_form	30	kJ/mol of formula units
symmetry	R-3m

abc: 2.977 2.977 8.870
angles: 80.34 80.34 60.00
Last column: magnetic moment on the atom in μB.
Sites, in units of the cell vectors:
1 Mg 0.252 0.252 0.243  -0.02
2 Mg 0.748 0.748 0.757  -0.02
3 Mn 0.500 0.500 0.500  3.87
4 P 0.000 0.000 0.000  -0.01

---

[3]
A crystal of Sb2PbAu relaxed with PBEsol, computed with SCAN.

Calculated values
formation energy from raw total energies	0.163	eV/atom
E_tot	-54.70	eV per atom
total moment	0.00	μB/f.u.
symmetry	P4mm

abc: 3.352 3.352 8.783
angles: 90.00 90.00 90.00
Sites, in units of the cell vectors:
1 Au 0.000 0.000 0.486
2 Sb 0.000 0.000 0.010
3 Sb 0.500 0.500 0.286
4 Pb 0.500 0.500 0.718

---

[4]
A crystal of Cs3YF6 relaxed with PBEsol, computed with SCAN.

Calculated values
formation energy from raw total energies	-3.463	eV/atom
E_tot	-19.71	eV per atom
total moment	0.11	μB/f.u.
symmetry	I4/mmm

abc: 7.056 7.056 7.056
angles: 89.54 120.27 120.27
Sites, in units of the cell vectors:
1 F 0.695 0.695 0.000
2 F 0.305 0.305 0.000
3 F 0.695 0.000 0.695
4 F 0.305 0.000 0.305
5 F 0.000 0.780 0.780
6 F 0.000 0.220 0.220
7 Cs 0.500 0.750 0.250
8 Cs 0.000 0.500 0.500
9 Cs 0.500 0.250 0.750
10 Y 0.000 0.000 0.000

---

Question: Which value of E_tot does entry 4 give?
Answer: -19.71 eV per atom

---

Question: total moment of number 1 (YAlZn)?
Answer: 0.17 μB/f.u.

---

Question: The lowest E_tot belongs to which entry?
Answer: Sb2PbAu

---

Question: Look up the total moment of the first one.
Answer: 0.17 μB/f.u.